Below is an optimized crystal structure of BeTePdO, with properties calculated at the PBE level.

Results
relative energy among the computed polymorphs: 963 meV/atom
calculated total energy: -37.74 eV for the cell shown

Geometry as POSCAR:
```
BeTePdO
1.0
-1.672 4.867 0.116
-4.868 -1.671 -0.071
-0.033 -0.146 5.656
Pd O Te Be
2 2 2 2
Direct
0.750 0.750 0.331
0.250 0.250 0.669
0.250 0.250 0.029
0.750 0.750 0.971
0.750 0.250 0.500
0.250 0.750 0.500
0.250 0.250 0.274
0.750 0.750 0.726
```